A relaxed structure of Cs2HoZn2Se4, computed with PBE-GGA.

Cell lengths 8.5380, 8.5380, 8.6525 Å; angles 111.01, 111.01, 28.08 degrees
Fractional coordinates of all 9 atoms:
1 Cs 0.1303 0.1303 0.0612
2 Cs 0.8697 0.8697 0.9388
3 Ho 0.0000 0.0000 0.5000
4 Zn 0.3176 0.3176 0.4923
5 Zn 0.6824 0.6824 0.5077
6 Se 0.1850 0.1850 0.6853
7 Se 0.4691 0.4691 0.7056
8 Se 0.5309 0.5309 0.2944
9 Se 0.8149 0.8149 0.3147

VASP energy   -3.63 eV per atom
N(E_F)   3.9 states/eV per cell
Formation energy (no corrections)   -1098.6 meV/atom
Size of the total moment   0.0 Bohr magnetons per cell
Calculated volume   30.648 Å³/atom
Symmetry   C2/m (12)